No. 1
The following is a PBE calculation of a geometry-optimized Pm2Cd3Au2 structure, from the Alexandria database.

```
Pm2Cd3Au2
1.0
10.6014 0.0000 0.0000
0.0000 4.2829 0.0000
-0.5555 0.0000 7.5453
Pm Cd Au
4 6 4
Direct
0.1206 0.0000 0.3375
0.3794 0.5000 0.6625
0.6206 0.5000 0.3375
0.8794 0.0000 0.6625
0.0000 0.5000 0.0000
0.1883 0.0000 0.8767
0.3117 0.5000 0.1233
0.5000 0.0000 0.0000
0.6883 0.5000 0.8767
0.8117 0.0000 0.1233
0.0970 0.5000 0.6393
0.4030 0.0000 0.3607
0.5970 0.0000 0.6393
0.9030 0.5000 0.3607
```

E_form, eV/f.u.: -3.52
Total magnetic moment, μB/atom: 0.000
E above lowest polymorph, eV per atom: 0.043
Symmetry: No. 12

No. 2
The following is a PBE calculation of a geometry-optimized PmCd2Au10 structure, from the Alexandria database.

```
PmCd2Au10
1.0
0.0000 6.5821 6.9923
2.8463 0.0000 6.9923
2.8463 6.5821 0.0000
Pm Cd Au
1 2 10
Direct
0.0000 0.0000 0.0000
0.0000 0.5000 0.0000
0.5000 0.0000 0.5000
0.0000 0.0000 0.5000
0.0039 0.6574 0.3426
0.2874 0.5003 0.4997
0.3426 0.9961 0.0039
0.5003 0.2874 0.7126
0.5000 0.5000 0.0000
0.4997 0.7126 0.2874
0.6574 0.0039 0.9961
0.7126 0.4997 0.5003
0.9961 0.3426 0.6574
```

E_form, eV/f.u.: -2.72
Total magnetic moment, μB/atom: 0.000
Symmetry: No. 69

No. 3
The following is a PBE calculation of a geometry-optimized PmCd4Au structure, from the Alexandria database.

```
PmCd4Au
1.0
8.4970 0.0000 0.0000
0.0000 4.3438 0.0000
0.0000 0.0000 7.6926
Pm Cd Au
2 8 2
Direct
0.2500 0.0000 0.1155
0.7500 0.0000 0.8845
0.0000 0.0000 0.5000
0.0461 0.5000 0.8165
0.2500 0.5000 0.4349
0.4539 0.5000 0.8165
0.5000 0.0000 0.5000
0.5461 0.5000 0.1835
0.7500 0.5000 0.5651
0.9539 0.5000 0.1835
0.2500 0.0000 0.7280
0.7500 0.0000 0.2720
```

E_form, eV/f.u.: -1.85
Total magnetic moment, μB/atom: 0.000
E above lowest polymorph, eV per atom: 0.000
Symmetry: No. 51

For each record above, in turn, the calculated D(E_F) values are 4.6; 3.9; 2.7 states/eV/f.u..